A relaxed structure of Be3Ru, computed with GGA-PBE.

```
Be3Ru
1.0
-0.7506 -3.9415 -1.4867
4.1366 -0.4040 -1.0173
0.7967 -1.6157 3.8813
Be Ru
6 2
Cartesian
-0.1761 -2.3747 0.2269
1.4325 -0.9089 1.6863
1.5054 -3.1582 -1.6237
1.8806 -1.1874 -0.8803
0.2222 -3.1826 2.1676
3.5008 -1.1109 1.1777
0.0000 0.0000 0.0000
2.0913 -2.9806 0.6886
```

- space group = Pm-3n (223)
- ΔH_f (0 K) (eV/atom) = -0.0457